Compound: Ni2MoAs
Source: Alexandria
Functional: PBE
Structure: optimized geometry

Cell lengths 4.1500, 3.0763, 4.2367 Å; angles 90.00, 99.84, 90.00 degrees
Closest atoms and distances in Å follow each position.
Fractional positions:
1 Ni 0.0671 0.0000 0.1812  2 As 2.47, 4 Ni 2.59-2.61, 2 Mo 2.69-2.71
2 Ni 0.5775 0.5000 0.2519  1 As 2.36, 4 Ni 2.59-2.61, 2 Mo 2.61
3 Mo 0.4764 0.0000 0.7480  4 As 2.56-2.61, 7 Ni 2.61-2.80
4 As 0.9793 0.5000 0.7176  3 Ni 2.36-2.47, 4 Mo 2.56-2.61

Symmetry: Pm
Total magnetic moment (Bohr magnetons per cell): 0.0
ΔH_f (0 K) (meV per atom): -3
Calculated volume (Å³ per cell): 53